Density functional theory data (GGA-PBE) for a relaxed PPtAu crystal.

Unit cell a=4.191 b=4.191 c=4.191 alpha=60.00 beta=60.00 gamma=60.00
Atoms (fractional coordinates):
1 P 0.250 0.250 0.250
2 Pt 0.000 0.000 0.000
3 Au 0.500 0.500 0.500

Values from the calculation:
- formation energy from the elements (eV per atom) = 0.101
- space group = No. 216
- Fermi-level density of states (states/eV/f.u.) = 2.171
- VASP energy (eV/atom) = -4.808

=====

Density functional theory data (GGA-PBE) for a relaxed AlMo4 crystal.

Unit cell a=6.144 b=6.144 c=6.144 alpha=140.13 beta=140.13 gamma=57.65
Atoms (fractional coordinates):
1 Al 0.000 0.000 0.000
2 Mo 0.384 0.384 0.000
3 Mo 0.616 0.616 0.000
4 Mo 0.750 0.250 0.500
5 Mo 0.250 0.750 0.500

Values from the calculation:
- formation energy from the elements (eV per atom) = 0.704
- space group = No. 139
- Fermi-level density of states (states/eV/f.u.) = 5.553
- VASP energy (eV/atom) = -8.709

=====

Density functional theory data (GGA-PBE) for a relaxed NaSnPt crystal.

Unit cell a=3.124 b=4.750 c=4.750 alpha=120.00 beta=90.00 gamma=90.00
Atoms (fractional coordinates):
1 Pt 0.166 0.667 0.333
2 Sn 0.167 0.000 0.000
3 Na 0.667 0.333 0.667

Values from the calculation:
- formation energy from the elements (eV per atom) = -0.320
- space group = No. 187
- Fermi-level density of states (states/eV/f.u.) = 2.036
- VASP energy (eV/atom) = -4.108

=====

Density functional theory data (GGA-PBE) for a relaxed Pr6SiPt2Br3 crystal.

Unit cell a=7.440 b=7.440 c=7.951 alpha=99.00 beta=99.00 gamma=119.93
Atoms (fractional coordinates):
1 Pr 0.410 0.070 0.207
2 Pt 0.667 0.333 0.000
3 Pr 0.930 0.590 0.793
4 Pr 0.070 0.410 0.207
5 Si 0.000 0.000 0.000
6 Pr 0.590 0.930 0.793
7 Br 0.159 0.841 0.500
8 Pr 0.729 0.729 0.206
9 Br 0.500 0.500 0.500
10 Pt 0.333 0.667 0.000
11 Pr 0.271 0.271 0.794
12 Br 0.841 0.159 0.500

Values from the calculation:
- space group = No. 12
- ΔE_f (raw) (eV per formula unit) = -13.61
- Fermi-level density of states (states/eV/f.u.) = 9.908
- VASP energy (eV/atom) = -5.401

=====

Density functional theory data (GGA-PBE) for a relaxed GdTmInAg crystal.

Unit cell a=5.238 b=5.238 c=5.238 alpha=60.00 beta=60.00 gamma=60.00
Last column: magnetic moment on the atom in μB.
Atoms (fractional coordinates):
1 Tm 0.250 0.250 0.250  0.10
2 In 0.000 0.000 0.000  -0.01
3 Ag 0.500 0.500 0.500  0.01
4 Gd 0.750 0.750 0.750  7.14

Values from the calculation:
- formation energy from the elements (eV per atom) = -0.396
- space group = No. 216
- Fermi-level density of states (states/eV/f.u.) = 3.885
- VASP energy (eV/atom) = -6.431

=====

Density functional theory data (GGA-PBE) for a relaxed HoB2H8 crystal.

Unit cell a=3.857 b=7.056 c=7.056 alpha=34.30 beta=78.58 gamma=78.58
Last column: magnetic moment on the atom in μB.
Atoms (fractional coordinates):
1 H 0.420 0.836 0.324  0.00
2 H 0.689 0.166 0.166  0.00
3 B 0.583 0.866 0.866  0.01
4 H 0.311 0.834 0.834  0.00
5 H 0.580 0.164 0.676  0.00
6 H 0.164 0.203 0.203  0.00
7 Ho 0.000 0.000 0.000  0.28
8 H 0.836 0.797 0.797  0.00
9 H 0.580 0.676 0.164  0.00
10 H 0.420 0.324 0.836  0.00
11 B 0.417 0.134 0.134  0.01

Values from the calculation:
- space group = No. 12
- Fermi-level density of states (states/eV/f.u.) = 1.121
- VASP energy (eV/atom) = -4.284

=====

Density functional theory data (GGA-PBE) for a relaxed NaCaAs2Pd5 crystal.

Unit cell a=4.505 b=4.505 c=8.292 alpha=90.00 beta=90.00 gamma=90.00
Atoms (fractional coordinates):
1 Pd 0.500 0.500 0.500
2 As 0.500 0.500 0.842
3 Na 0.000 0.000 0.000
4 As 0.500 0.500 0.158
5 Pd 0.500 0.000 0.274
6 Pd 0.000 0.500 0.726
7 Pd 0.500 0.000 0.726
8 Ca 0.000 0.000 0.500
9 Pd 0.000 0.500 0.274

Values from the calculation:
- formation energy from the elements (eV per atom) = -0.536
- space group = No. 123
- Fermi-level density of states (states/eV/f.u.) = 4.826
- VASP energy (eV/atom) = -4.823

=====

Density functional theory data (GGA-PBE) for a relaxed Zn2BiI8 crystal.

Unit cell a=7.118 b=8.787 c=8.787 alpha=94.19 beta=91.68 gamma=91.68
Last column: magnetic moment on the atom in μB.
Atoms (fractional coordinates):
1 I 0.733 0.724 0.053  0.01
2 Zn 0.418 0.216 0.216  0.00
3 Zn 0.582 0.784 0.784  0.00
4 I 0.267 0.276 0.947  0.01
5 I 0.305 0.424 0.424  0.31
6 I 0.733 0.053 0.724  0.01
7 I 0.695 0.576 0.576  0.31
8 I 0.788 0.227 0.227  0.01
9 I 0.267 0.947 0.276  0.01
10 I 0.212 0.773 0.773  0.01
11 Bi 0.000 0.000 0.000  0.00

Values from the calculation:
- space group = No. 12
- ΔE_f (raw) (eV per formula unit) = -4.69
- Fermi-level density of states (states/eV/f.u.) = 0.200
- VASP energy (eV/atom) = -2.138

=====

Density functional theory data (GGA-PBE) for a relaxed LaErTlPd crystal.

Unit cell a=5.296 b=5.296 c=5.296 alpha=60.00 beta=60.00 gamma=60.00
Atoms (fractional coordinates):
1 La 0.750 0.750 0.750
2 Tl 0.000 0.000 0.000
3 Pd 0.500 0.500 0.500
4 Er 0.250 0.250 0.250

Values from the calculation:
- formation energy from the elements (eV per atom) = -0.505
- space group = No. 216
- Fermi-level density of states (states/eV/f.u.) = 4.081
- VASP energy (eV/atom) = -4.767

=====

Density functional theory data (GGA-PBE) for a relaxed Zn2AgHg crystal.

Unit cell a=5.065 b=5.065 c=5.065 alpha=131.64 beta=131.64 gamma=70.80
Atoms (fractional coordinates):
1 Zn 0.250 0.750 0.500
2 Hg 0.750 0.250 0.500
3 Ag 0.500 0.500 0.000
4 Zn 0.000 0.000 0.000

Values from the calculation:
- formation energy from the elements (eV per atom) = 0.082
- space group = No. 119
- Fermi-level density of states (states/eV/f.u.) = 1.102
- VASP energy (eV/atom) = -1.343

=====

Density functional theory data (GGA-PBE) for a relaxed Tb12Pm6Mg crystal.

Unit cell a=8.694 b=8.694 c=8.694 alpha=97.26 beta=97.26 gamma=97.26
Atoms (fractional coordinates):
1 Tb 0.412 0.412 0.833
2 Tb 0.412 0.833 0.412
3 Tb 0.167 0.588 0.588
4 Tb 0.000 0.262 0.738
5 Pm 0.866 0.865 0.592
6 Pm 0.134 0.135 0.408
7 Tb 0.000 0.738 0.262
8 Pm 0.135 0.408 0.134
9 Tb 0.262 0.738 0.000
10 Tb 0.588 0.588 0.167
11 Pm 0.592 0.866 0.865
12 Pm 0.865 0.592 0.866
13 Tb 0.833 0.412 0.412
14 Mg 0.000 0.000 0.000
15 Tb 0.262 0.000 0.738
16 Pm 0.408 0.134 0.135
17 Tb 0.738 0.262 0.000
18 Tb 0.738 0.000 0.262
19 Tb 0.588 0.167 0.588

Values from the calculation:
- formation energy from the elements (eV per atom) = 0.131
- space group = No. 148
- Fermi-level density of states (states/eV/f.u.) = 30.683
- VASP energy (eV/atom) = -4.377

=====

Density functional theory data (GGA-PBE) for a relaxed CaAs2Br crystal.

Unit cell a=5.198 b=5.198 c=5.194 alpha=74.19 beta=74.19 gamma=117.07
Atoms (fractional coordinates):
1 Ca 0.000 0.500 0.500
2 As 0.500 0.500 0.000
3 As 0.000 0.000 0.000
4 Br 0.500 0.000 0.500

Values from the calculation:
- space group = No. 139
- ΔE_f (raw) (eV per formula unit) = -1.79
- Fermi-level density of states (states/eV/f.u.) = 1.870
- VASP energy (eV/atom) = -3.691

=====

Density functional theory data (GGA-PBE) for a relaxed Ca2Ac6Pm3 crystal.

Unit cell a=3.893 b=3.893 c=34.724 alpha=86.79 beta=86.79 gamma=60.00
Atoms (fractional coordinates):
1 Ac 0.637 0.637 0.088
2 Ac 0.912 0.912 0.264
3 Pm 0.274 0.274 0.177
4 Ca 0.547 0.547 0.359
5 Ac 0.363 0.363 0.912
6 Ca 0.453 0.453 0.641
7 Pm 0.726 0.726 0.823
8 Ac 0.182 0.182 0.454
9 Pm 0.000 0.000 0.000
10 Ac 0.088 0.088 0.736
11 Ac 0.818 0.818 0.546

Values from the calculation:
- formation energy from the elements (eV per atom) = 0.024
- space group = No. 166
- Fermi-level density of states (states/eV/f.u.) = 14.300
- VASP energy (eV/atom) = -3.877

=====

Density functional theory data (GGA-PBE) for a relaxed Mg8Al2P crystal.

Unit cell a=5.934 b=5.934 c=7.680 alpha=90.78 beta=89.22 gamma=120.44
Atoms (fractional coordinates):
1 Mg 0.832 0.669 0.288
2 Mg 0.331 0.168 0.288
3 Al 0.672 0.328 0.592
4 Mg 0.168 0.331 0.712
5 P 0.000 0.000 0.000
6 Mg 0.669 0.832 0.712
7 Al 0.328 0.672 0.408
8 Mg 0.168 0.832 0.721
9 Mg 0.832 0.168 0.279
10 Mg 0.337 0.663 0.051
11 Mg 0.663 0.337 0.949

Values from the calculation:
- formation energy from the elements (eV per atom) = 0.010
- space group = No. 12
- Fermi-level density of states (states/eV/f.u.) = 3.950
- VASP energy (eV/atom) = -2.322

=====

Density functional theory data (GGA-PBE) for a relaxed TbTlZn2 crystal.

Unit cell a=4.620 b=5.844 c=4.536 alpha=130.10 beta=90.00 gamma=90.00
Atoms (fractional coordinates):
1 Zn 0.000 0.077 0.155
2 Zn 0.500 0.233 0.467
3 Tb 0.500 0.800 0.601
4 Tl 0.000 0.492 0.984

Values from the calculation:
- formation energy from the elements (eV per atom) = -0.041
- space group = No. 38
- Fermi-level density of states (states/eV/f.u.) = 3.067
- VASP energy (eV/atom) = -2.427

=====

Density functional theory data (GGA-PBE) for a relaxed LaAg2Au crystal.

Unit cell a=5.049 b=5.049 c=5.049 alpha=60.00 beta=60.00 gamma=60.00
Atoms (fractional coordinates):
1 Ag 0.750 0.750 0.750
2 Au 0.500 0.500 0.500
3 La 0.000 0.000 0.000
4 Ag 0.250 0.250 0.250

Values from the calculation:
- formation energy from the elements (eV per atom) = -0.304
- space group = No. 225
- Fermi-level density of states (states/eV/f.u.) = 1.872
- VASP energy (eV/atom) = -3.781

=====

Density functional theory data (GGA-PBE) for a relaxed Cd2GaCuS4 crystal.

Unit cell a=7.671 b=7.671 c=6.886 alpha=64.11 beta=64.11 gamma=29.99
Atoms (fractional coordinates):
1 S 0.922 0.922 0.751
2 Cd 0.002 0.002 0.348
3 S 0.426 0.426 0.236
4 S 0.702 0.702 0.631
5 Cu 0.747 0.747 0.933
6 Ga 0.251 0.251 0.400
7 Cd 0.506 0.506 0.816
8 S 0.194 0.194 0.136

Values from the calculation:
- space group = No. 8
- ΔE_f (raw) (eV per formula unit) = -4.34
- Fermi-level density of states (states/eV/f.u.) = 1.272
- VASP energy (eV/atom) = -3.725

=====

Density functional theory data (GGA-PBE) for a relaxed As2PbCl crystal.

Unit cell a=3.267 b=3.267 c=9.959 alpha=90.00 beta=90.00 gamma=120.17
Atoms (fractional coordinates):
1 As 0.000 0.000 0.476
2 As 0.000 0.000 0.024
3 Cl 0.500 0.500 0.250
4 Pb 0.500 0.500 0.750

Values from the calculation:
- space group = No. 65
- ΔE_f (raw) (eV per formula unit) = 1.33
- Fermi-level density of states (states/eV/f.u.) = 1.668
- VASP energy (eV/atom) = -3.381

=====

Density functional theory data (GGA-PBE) for a relaxed BiBPt3 crystal.

Unit cell a=7.407 b=6.634 c=6.680 alpha=90.00 beta=32.49 gamma=90.00
Atoms (fractional coordinates):
1 Pt 0.613 0.965 0.090
2 Bi 0.153 0.750 0.782
3 Bi 0.847 0.250 0.218
4 Pt 0.910 0.750 0.443
5 Pt 0.387 0.035 0.910
6 Pt 0.387 0.465 0.910
7 B 0.427 0.750 0.046
8 Pt 0.613 0.535 0.090
9 B 0.573 0.250 0.954
10 Pt 0.090 0.250 0.557

Values from the calculation:
- formation energy from the elements (eV per atom) = -0.180
- space group = No. 11
- Fermi-level density of states (states/eV/f.u.) = 1.848
- VASP energy (eV/atom) = -5.916

=====

Density functional theory data (GGA-PBE) for a relaxed Nb6Tc5Ru crystal.

Unit cell a=4.512 b=6.384 c=7.811 alpha=114.12 beta=106.79 gamma=90.00
Atoms (fractional coordinates):
1 Nb 0.832 0.083 0.665
2 Nb 0.500 0.748 0.000
3 Nb 0.500 0.252 0.000
4 Tc 0.000 0.500 0.000
5 Nb 0.832 0.581 0.665
6 Nb 0.168 0.419 0.335
7 Tc 0.334 0.834 0.669
8 Tc 0.666 0.166 0.331
9 Nb 0.168 0.917 0.335
10 Tc 0.667 0.667 0.333
11 Ru 0.000 0.000 0.000
12 Tc 0.333 0.333 0.667

Values from the calculation:
- formation energy from the elements (eV per atom) = -0.329
- space group = No. 71
- Fermi-level density of states (states/eV/f.u.) = 4.877
- VASP energy (eV/atom) = -10.456

=====

Density functional theory data (GGA-PBE) for a relaxed Al3PdS crystal.

Unit cell a=4.740 b=4.740 c=4.740 alpha=90.00 beta=90.00 gamma=90.00
Atoms (fractional coordinates):
1 Al 0.000 0.500 0.000
2 Al 0.000 0.000 0.500
3 Al 0.500 0.000 0.000
4 S 0.500 0.500 0.500
5 Pd 0.000 0.000 0.000

Values from the calculation:
- space group = No. 221
- ΔE_f (raw) (eV per formula unit) = -0.41
- Fermi-level density of states (states/eV/f.u.) = 4.227
- VASP energy (eV/atom) = -4.191

=====

Density functional theory data (GGA-PBE) for a relaxed TlCuTe2 crystal.

Unit cell a=4.338 b=4.338 c=12.610 alpha=90.00 beta=90.00 gamma=90.00
Atoms (fractional coordinates):
1 Cu 0.000 0.000 0.000
2 Te 0.500 0.000 0.123
3 Tl 0.500 0.000 0.735
4 Te 0.000 0.500 0.877
5 Te 0.500 0.500 0.500
6 Tl 0.000 0.500 0.265
7 Cu 0.500 0.500 0.000
8 Te 0.000 0.000 0.500

Values from the calculation:
- space group = No. 129
- ΔE_f (raw) (eV per formula unit) = -0.55
- Fermi-level density of states (states/eV/f.u.) = 2.884
- VASP energy (eV/atom) = -3.324

=====

Density functional theory data (GGA-PBE) for a relaxed KNiPb2 crystal.

Unit cell a=4.965 b=3.952 c=7.265 alpha=74.11 beta=90.00 gamma=90.00
Atoms (fractional coordinates):
1 K 0.000 0.573 0.481
2 Pb 0.500 0.226 0.172
3 Pb 0.000 0.853 0.919
4 Ni 0.500 0.849 0.928

Values from the calculation:
- formation energy from the elements (eV per atom) = 0.162
- space group = No. 6
- Fermi-level density of states (states/eV/f.u.) = 2.772
- VASP energy (eV/atom) = -3.412

=====

Density functional theory data (GGA-PBE) for a relaxed PmSmHoCd crystal.

Unit cell a=3.640 b=3.640 c=9.088 alpha=90.00 beta=90.00 gamma=90.00
Atoms (fractional coordinates):
1 Cd 0.000 0.000 0.564
2 Sm 0.500 0.500 0.796
3 Ho 0.500 0.500 0.349
4 Pm 0.000 0.000 0.076

Values from the calculation:
- formation energy from the elements (eV per atom) = -0.149
- space group = No. 99
- Fermi-level density of states (states/eV/f.u.) = 3.935
- VASP energy (eV/atom) = -3.889

=====

Density functional theory data (GGA-PBE) for a relaxed Cs2CaSiSe4 crystal.

Unit cell a=6.554 b=8.124 c=13.655 alpha=84.44 beta=76.11 gamma=66.21
Atoms (fractional coordinates):
1 Se 0.199 0.313 0.398
2 Se 0.348 0.813 0.102
3 Cs 0.931 0.500 0.138
4 Se 0.262 0.187 0.898
5 Se 0.488 0.313 0.602
6 Si 0.250 0.500 0.500
7 Cs 0.181 0.000 0.638
8 Se 0.402 0.687 0.398
9 Si 0.500 0.000 0.000
10 Se 0.911 0.687 0.602
11 Ca 0.750 0.500 0.500
12 Se 0.551 0.187 0.102
13 Cs 0.819 0.000 0.362
14 Ca 0.000 0.000 0.000
15 Se 0.839 0.813 0.898
16 Cs 0.569 0.500 0.862

Values from the calculation:
- space group = No. 70
- ΔE_f (raw) (eV per formula unit) = -9.31
- Fermi-level density of states (states/eV/f.u.) = 0.000
- VASP energy (eV/atom) = -4.047